[1]
An optimized crystal structure of Nd7NiBr12, computed with PBE.

abc: 9.4879 9.4879 9.4879
angles: 107.51 107.51 107.51
Each line ends with the local moment (μB).
Element x y z (fractional)
Nd1 0.5000 0.5000 0.5000  0.18
Br1 0.9255 0.3152 0.7798  0.00
Nd2 0.8901 0.9695 0.6846  0.02
Nd3 0.1099 0.0305 0.3154  0.02
Br2 0.3152 0.7798 0.9255  0.00
Br3 0.1621 0.3883 0.4727  0.00
Br4 0.8379 0.6117 0.5273  0.00
Nd4 0.6846 0.8901 0.9695  0.02
Br5 0.6117 0.5273 0.8379  0.00
Br6 0.3883 0.4727 0.1621  0.00
Br7 0.6848 0.2202 0.0745  0.00
Nd5 0.0305 0.3154 0.1099  0.02
Br8 0.5273 0.8379 0.6117  0.00
Nd6 0.3154 0.1099 0.0305  0.02
Br9 0.7798 0.9255 0.3152  0.00
Br10 0.2202 0.0745 0.6848  0.00
Ni1 0.0000 0.0000 0.0000  0.05
Br11 0.4727 0.1621 0.3883  0.00
Br12 0.0745 0.6848 0.2202  0.00
Nd7 0.9695 0.6846 0.8901  0.02

[2]
An optimized crystal structure of Nd4NiOsBr2, computed with PBE.

abc: 4.1101 7.0340 8.1997
angles: 106.69 90.00 90.00
Element x y z (fractional)
Nd1 0.5000 0.7686 0.8075
Nd2 0.0000 0.2707 0.8005
Nd3 0.5000 0.2314 0.1925
Br1 0.5000 0.0000 0.5000
Os1 0.5000 0.5000 0.0000
Nd4 0.0000 0.7293 0.1995
Br2 0.0000 0.5000 0.5000
Ni1 0.0000 0.0000 0.0000

[3]
An optimized crystal structure of Nd8NiOs3Br4, computed with PBE.

abc: 8.2109 9.1879 8.2091
angles: 116.53 120.01 90.00
Element x y z (fractional)
Br1 0.5000 0.0000 0.5000
Nd1 0.2662 0.2996 0.5325
Br2 0.5000 0.0000 0.0000
Nd2 0.7655 0.3041 0.0383
Ni1 0.0000 0.5000 0.0000
Os1 0.5000 0.5000 0.0000
Nd3 0.7272 0.6959 0.9617
Nd4 0.2338 0.6956 0.4675
Br3 0.0000 0.0000 0.5000
Os2 0.0000 0.5000 0.5000
Br4 0.0000 0.0000 0.0000
Os3 0.5000 0.5000 0.5000
Nd5 0.7338 0.7004 0.4675
Nd6 0.7662 0.3044 0.5325
Nd7 0.2728 0.3041 0.0383
Nd8 0.2345 0.6959 0.9617

[4]
An optimized crystal structure of Nd6Ni2PBr3, computed with PBE.

abc: 7.1684 7.1684 7.8519
angles: 98.79 98.79 119.79
Element x y z (fractional)
Ni1 0.3328 0.6672 0.0000
Nd1 0.4117 0.0670 0.1996
Nd2 0.2788 0.2788 0.8017
Br1 0.8392 0.1608 0.5000
Nd3 0.0670 0.4117 0.1996
P1 0.0000 0.0000 0.0000
Br2 0.1608 0.8392 0.5000
Nd4 0.5883 0.9330 0.8004
Nd5 0.9330 0.5883 0.8004
Br3 0.5000 0.5000 0.5000
Nd6 0.7212 0.7212 0.1983
Ni2 0.6672 0.3328 0.0000

| no. | size of the total moment (μB per cell) | calculated volume (Å³ per cell) | formation energy (no corrections) (meV/atom) |
| --- | --- | --- | --- |
| 1 | 0.67 | 701.1 | -1583 |
| 2 | 0.00 | 227.1 | -772 |
| 3 | 0.00 | 459.5 | -709 |
| 4 | 0.00 | 333.5 | -999 |